Material: Be2CrCd2O6
Method: DFT, GGA+U
State: optimized geometry

Cell and atoms, written as POSCAR:
```
Be2CrCd2O6
1.0
2.623 1.514 5.158
-2.623 1.514 5.158
0.000 -3.028 5.158
Be Cr Cd O
2 1 2 6
direct
0.090 0.090 0.090
0.910 0.910 0.910
0.500 0.500 0.500
0.297 0.297 0.297
0.703 0.703 0.703
0.249 0.746 0.746
0.254 0.254 0.751
0.254 0.751 0.254
0.746 0.249 0.746
0.746 0.746 0.249
0.751 0.254 0.254
```

Calculated values
The total energy is -5.76 eV/atom.